## KSrGeSb2 (SCAN)

Data for a PBEsol-optimized structure of KSrGeSb2.

Summary:
Crystal system ... tetragonal
Formation energy (no corrections) ... 0.745 eV/atom
Calculated total energy ... -24.10 eV/atom
D(E_F) ... 2.55 states/eV/f.u.

Unit cell a=5.922 b=5.922 c=5.770 alpha=90.00 beta=90.00 gamma=90.00
Space group P4/mmm (No. 123)
Asymmetric unit:
K1 0.000 0.000 0.000 x1
Sr1 0.000 0.000 0.500 x1
Ge1 0.500 0.500 0.000 x1
Sb1 0.000 0.500 0.500 x2

## Ba2InGa (SCAN)

Data for a PBEsol-optimized structure of Ba2InGa.

Summary:
Crystal system ... cubic
E_form ... -0.415 eV per atom
Calculated total energy ... -32.62 eV/atom
D(E_F) ... 3.16 states/eV/f.u.

Unit cell a=8.209 b=8.209 c=8.209 alpha=90.00 beta=90.00 gamma=90.00
Space group Fm-3m (No. 225)
Asymmetric unit:
Ba1 0.250 0.250 0.250 x8
In1 0.000 0.000 0.000 x4
Ga1 0.000 0.000 0.500 x4

## TlSi2Mo (SCAN)

Data for a PBEsol-optimized structure of TlSi2Mo.

Summary:
Crystal system ... tetragonal
Formation energy (no corrections) ... 0.766 eV/atom
Calculated total energy ... -31.05 eV/atom
Excess energy over the best structure of this formula in the dataset ... 108 meV/atom
D(E_F) ... 2.19 states/eV/f.u.

Unit cell a=4.083 b=4.083 c=7.855 alpha=90.00 beta=90.00 gamma=90.00
Space group I4/mmm (No. 139)
Asymmetric unit:
Tl1 0.000 0.000 0.000 x2
Si1 0.000 0.500 0.250 x4
Mo1 0.000 0.000 0.500 x2

## Na3InI (SCAN)

Data for a PBEsol-optimized structure of Na3InI.

Summary:
Crystal system ... cubic
Formation energy (no corrections) ... -0.117 eV/atom
Calculated total energy ... -16.67 eV/atom
D(E_F) ... 4.43 states/eV/f.u.

Unit cell a=5.871 b=5.871 c=5.871 alpha=90.00 beta=90.00 gamma=90.00
Space group Pm-3m (No. 221)
Asymmetric unit:
Na1 0.000 0.000 0.500 x3
In1 0.000 0.000 0.000 x1
I1 0.500 0.500 0.500 x1

## SmCo2Si2 (SCAN)

Data for a PBEsol-optimized structure of SmCo2Si2.

Summary:
Crystal system ... tetragonal
Formation energy (no corrections) ... -0.740 eV/atom
Calculated total energy ... -20.56 eV/atom
D(E_F) ... 1.91 states/eV/f.u.

Unit cell a=3.869 b=3.869 c=9.778 alpha=90.00 beta=90.00 gamma=90.00
Space group I4/mmm (No. 139)
Asymmetric unit:
Sm1 0.000 0.000 0.000 x2
Co1 0.000 0.500 0.250 x4
Si1 0.000 0.000 0.369 x4

## NbHg2BiO (SCAN)

Data for a PBEsol-optimized structure of NbHg2BiO.

Summary:
Crystal system ... tetragonal
Formation energy (no corrections) ... 0.826 eV/atom
Calculated total energy ... -50.03 eV/atom
D(E_F) ... 4.13 states/eV/f.u.

Unit cell a=5.615 b=5.615 c=4.161 alpha=90.00 beta=90.00 gamma=90.00
Space group P4/mmm (No. 123)
Asymmetric unit:
Nb1 0.000 0.000 0.000 x1
Hg1 0.000 0.500 0.500 x2
Bi1 0.500 0.500 0.500 x1
O1 0.500 0.500 0.000 x1

## UB4Os (SCAN)

Data for a PBEsol-optimized structure of UB4Os.

Summary:
Crystal system ... orthorhombic
E_form ... -0.448 eV per atom
Calculated total energy ... -34.64 eV/atom
D(E_F) ... 3.95 states/eV/f.u.

Unit cell a=7.286 b=9.358 c=3.498 alpha=90.00 beta=90.00 gamma=90.00
Space group Cmmm (No. 65)
Asymmetric unit:
U1 0.000 0.200 0.000 x4
B1 0.000 0.406 0.500 x4
B2 0.119 0.000 0.500 x4
B3 0.225 0.340 0.500 x8
Os1 0.188 0.500 0.000 x4

## Cs3MnSe (SCAN)

Data for a PBEsol-optimized structure of Cs3MnSe.

Summary:
Crystal system ... cubic
Formation energy (no corrections) ... 0.226 eV/atom
Calculated total energy ... -30.13 eV/atom
D(E_F) ... 3.84 states/eV/f.u.

Unit cell a=6.157 b=6.157 c=6.157 alpha=90.00 beta=90.00 gamma=90.00
Space group Pm-3m (No. 221)
Asymmetric unit:
Cs1 0.000 0.000 0.500 x3
Mn1 0.000 0.000 0.000 x1
Se1 0.500 0.500 0.500 x1

## TaIr2 (SCAN)

Data for a PBEsol-optimized structure of TaIr2.

Summary:
Crystal system ... trigonal
E_form ... -0.301 eV per atom
Calculated total energy ... -69.89 eV/atom
D(E_F) ... 1.95 states/eV/f.u.

Unit cell a=4.4147 b=4.4147 c=2.7357 alpha=90.00 beta=90.00 gamma=120.00
Space group P-3m1 (No. 164)
Asymmetric unit:
Ta1 0.0000 0.0000 0.0000 x1
Ir1 0.3333 0.6667 0.7381 x2

## LiCoTc2 (SCAN)

Data for a PBEsol-optimized structure of LiCoTc2.

Summary:
Crystal system ... orthorhombic
E_form ... 0.332 eV per atom
Calculated total energy ... -22.12 eV/atom
Excess energy over the best structure of this formula in the dataset ... 106 meV/atom
D(E_F) ... 4.12 states/eV/f.u.

Unit cell a=2.582 b=3.788 c=5.028 alpha=90.00 beta=90.00 gamma=90.00
Space group Pmm2 (No. 25)
Asymmetric unit:
Li1 0.000 0.000 0.000 x1
Co1 0.500 0.500 0.783 x1
Tc1 0.000 0.000 0.515 x1
Tc2 0.500 0.500 0.256 x1

## InMoP2 (SCAN)

Data for a PBEsol-optimized structure of InMoP2.

Summary:
Crystal system ... orthorhombic
E_form ... 0.479 eV per atom
Calculated total energy ... -21.79 eV/atom
D(E_F) ... 2.05 states/eV/f.u.

Unit cell a=5.712 b=6.772 c=3.224 alpha=90.00 beta=90.00 gamma=90.00
Space group Cmmm (No. 65)
Asymmetric unit:
In1 0.000 0.000 0.000 x2
Mo1 0.000 0.500 0.000 x2
P1 0.250 0.250 0.500 x4

## Cr2NiIr (SCAN)

Data for a PBEsol-optimized structure of Cr2NiIr.

Summary:
Crystal system ... orthorhombic
E_form ... -0.102 eV per atom
Calculated total energy ... -31.11 eV/atom
D(E_F) ... 3.22 states/eV/f.u.

Unit cell a=2.581 b=3.634 c=5.018 alpha=90.00 beta=90.00 gamma=90.00
Space group Pmmm (No. 47)
Asymmetric unit:
Cr1 0.000 0.000 0.237 x2
Ni1 0.500 0.500 0.000 x1
Ir1 0.500 0.500 0.500 x1

Q: The highest calculated total energy belongs to which entry?
A: Na3InI